# AcYMgPb, optimized geometry, DFT PBE
# - Formation energy from the elements: -0.26 eV per atom
# - N(E_F): 15.793 states/eV per cell
data_AcYMgPb
_chemical_formula_sum 'Ac4 Y4 Mg4 Pb4'
_symmetry_space_group_name_H-M 'F -4 3 m'
_symmetry_Int_Tables_number 216
_symmetry_space_group_name_Hall 'F -4 2 3'
_cell_length_a 7.9469
_cell_length_b 7.9469
_cell_length_c 7.9469
_cell_angle_alpha 90.00
_cell_angle_beta 90.00
_cell_angle_gamma 90.00
loop_
_atom_site_label
_atom_site_type_symbol
_atom_site_fract_x
_atom_site_fract_y
_atom_site_fract_z
_atom_site_occupancy
Ac1 Ac 0.0000 0.0000 0.0000 1
Y1 Y 0.0000 0.0000 0.5000 1
Mg1 Mg 0.2500 0.2500 0.2500 1
Pb1 Pb 0.2500 0.2500 0.7500 1

---

# SrMo2Au, optimized geometry, DFT PBE
# - Polymorph energy (0 for the lowest one): 445 meV/atom
# - Formation energy from the elements: 0.72 eV per atom
# - N(E_F): 14.469 states/eV per cell
data_SrMo2Au
_chemical_formula_sum 'Sr4 Mo8 Au4'
_symmetry_space_group_name_H-M 'F -4 3 m'
_symmetry_Int_Tables_number 216
_symmetry_space_group_name_Hall 'F -4 2 3'
_cell_length_a 6.8096
_cell_length_b 6.8096
_cell_length_c 6.8096
_cell_angle_alpha 90.00
_cell_angle_beta 90.00
_cell_angle_gamma 90.00
loop_
_atom_site_label
_atom_site_type_symbol
_atom_site_fract_x
_atom_site_fract_y
_atom_site_fract_z
_atom_site_occupancy
Sr1 Sr 0.0000 0.0000 0.0000 1
Mo1 Mo 0.0000 0.0000 0.5000 1
Mo2 Mo 0.2500 0.2500 0.7500 1
Au1 Au 0.2500 0.2500 0.2500 1

---

# BaZnCd4, optimized geometry, DFT PBE
# - Polymorph energy (0 for the lowest one): 96 meV/atom
# - Formation energy from the elements: -0.08 eV per atom
# - N(E_F): 16.975 states/eV per cell
data_BaZnCd4
_chemical_formula_sum 'Ba4 Zn4 Cd16'
_symmetry_space_group_name_H-M 'F -4 3 m'
_symmetry_Int_Tables_number 216
_symmetry_space_group_name_Hall 'F -4 2 3'
_cell_length_a 8.6985
_cell_length_b 8.6985
_cell_length_c 8.6985
_cell_angle_alpha 90.00
_cell_angle_beta 90.00
_cell_angle_gamma 90.00
loop_
_atom_site_label
_atom_site_type_symbol
_atom_site_fract_x
_atom_site_fract_y
_atom_site_fract_z
_atom_site_occupancy
Ba1 Ba 0.0000 0.0000 0.0000 1
Zn1 Zn 0.2500 0.2500 0.2500 1
Cd1 Cd 0.1240 0.1240 0.6240 1